Entry i
This record from the Alexandria database describes a relaxed ScCoSb2I crystal. The functional is PBE.

Cell: 5.541 5.541 5.560 Å, 90.00 90.00 90.00°
Element x y z (fractional)
I 0.000 0.000 0.500
Sb 0.000 0.500 0.000
Sb 0.500 0.000 0.000
Co 0.500 0.500 0.500
Sc 0.000 0.000 0.000



Entry ii
This record from the Alexandria database describes a relaxed ScCoSb2I crystal. The functional is PBE.

Cell: 4.889 4.889 5.461 Å, 90.00 90.00 90.00°
Element x y z (fractional)
I 0.000 0.000 0.500
Sb 0.000 0.500 0.000
Sb 0.500 0.000 0.000
Co 0.000 0.000 0.000
Sc 0.500 0.500 0.500



What should be chosen as the most stable of them? Choose entry ii.



Entry i
This record from the Alexandria database describes a relaxed CoSb2SeI crystal. The functional is PBE.

Cell: 4.980 4.980 5.110 Å, 90.00 90.00 90.00°
Element x y z (fractional)
I 0.000 0.000 0.500
Sb 0.000 0.500 0.000
Sb 0.500 0.000 0.000
Co 0.000 0.000 0.000
Se 0.500 0.500 0.500



Entry ii
This record from the Alexandria database describes a relaxed CoSb2SeI crystal. The functional is PBE.

Cell: 5.417 5.417 5.752 Å, 90.00 90.00 90.00°
Element x y z (fractional)
I 0.000 0.000 0.500
Sb 0.000 0.500 0.000
Sb 0.500 0.000 0.000
Co 0.500 0.500 0.500
Se 0.000 0.000 0.000



What should be chosen as the most stable of them? Choose entry i.



Entry i
This record from the Alexandria database describes a relaxed CoSiSb2I crystal. The functional is PBE.

Cell: 4.850 4.850 5.443 Å, 90.00 90.00 90.00°
Element x y z (fractional)
I 0.000 0.000 0.500
Sb 0.000 0.500 0.000
Sb 0.500 0.000 0.000
Si 0.500 0.500 0.500
Co 0.000 0.000 0.000



Entry ii
This record from the Alexandria database describes a relaxed CoSiSb2I crystal. The functional is PBE.

Cell: 5.229 5.229 5.390 Å, 90.00 90.00 90.00°
Element x y z (fractional)
I 0.000 0.000 0.500
Sb 0.000 0.500 0.000
Sb 0.500 0.000 0.000
Si 0.000 0.000 0.000
Co 0.500 0.500 0.500



What should be chosen as the most stable of them? Choose entry i.



Entry i
This record from the Alexandria database describes a relaxed SrCoSb2I crystal. The functional is PBE.

Cell: 4.907 4.907 6.323 Å, 90.00 90.00 90.00°
Element x y z (fractional)
I 0.000 0.000 0.500
Sb 0.000 0.500 0.000
Sb 0.500 0.000 0.000
Co 0.000 0.000 0.000
Sr 0.500 0.500 0.500



Entry ii
This record from the Alexandria database describes a relaxed SrCoSb2I crystal. The functional is PBE.

Cell: 6.241 6.241 6.105 Å, 90.00 90.00 90.00°
Element x y z (fractional)
I 0.000 0.000 0.500
Sb 0.000 0.500 0.000
Sb 0.500 0.000 0.000
Co 0.500 0.500 0.500
Sr 0.000 0.000 0.000



What should be chosen as the most stable of them? Choose entry i.